No. 1
First-principles (GGA-PBE) data for crystalline LaOs2RuC at its relaxed geometry, as listed in Alexandria via LeMat-Bulk.

Properties
The calculation puts the total moment at 0.0 μB/f.u. For the energy of formation, the calculation gives 93 kJ/mol of formula units.

a = 4.223 Å, b = 4.223 Å, c = 4.313 Å
α = 90.00°, β = 90.00°, γ = 90.00°
Element x y z (fractional)
La 0.000 0.000 0.000
Os 0.000 0.500 0.500
Os 0.500 0.000 0.500
Ru 0.500 0.500 0.000
C 0.500 0.500 0.500

No. 2
First-principles (GGA-PBE) data for crystalline GdHfPa at its relaxed geometry, as listed in Alexandria via LeMat-Bulk.

Properties
The calculation puts the total moment at 7.2 μB/f.u. For the energy of formation, the calculation gives 54 kJ/mol of formula units. As for the excess energy over the best structure of this formula in the dataset: 0.000 eV/atom.

a = 7.952 Å, b = 7.952 Å, c = 7.952 Å
α = 156.77°, β = 156.77°, γ = 33.08°
Element x y z (fractional)
Gd 0.000 0.000 0.000
Hf 0.670 0.670 0.000
Pa 0.323 0.323 0.000

No. 3
First-principles (GGA-PBE) data for crystalline BaCd2GaHg4 at its relaxed geometry, as listed in Alexandria via LeMat-Bulk.

Properties
The calculation puts the total moment at 0.0 μB/f.u. For the energy of formation, the calculation gives -156 kJ/mol of formula units.

a = 10.531 Å, b = 10.531 Å, c = 10.531 Å
α = 27.41°, β = 27.41°, γ = 27.41°
Element x y z (fractional)
Ba 0.000 0.000 0.000
Cd 0.242 0.242 0.242
Cd 0.758 0.758 0.758
Ga 0.500 0.500 0.500
Hg 0.132 0.132 0.132
Hg 0.397 0.397 0.397
Hg 0.603 0.603 0.603
Hg 0.868 0.868 0.868

no.,theoretical density (Mg/m³)
1,13.65
2,12.04
3,9.38